! NaGe2AsI (meta-GGA SCAN, PBEsol geometry); values from VASP
&SYSTEM
  ibrav = 0, nat = 5, ntyp = 4
/
ATOMIC_SPECIES
I 126.90 I.upf
Na 22.99 Na.upf
Ge 72.64 Ge.upf
As 74.92 As.upf
ATOMIC_POSITIONS crystal
I 0.5000 0.5000 0.5000
Na 0.0000 0.0000 0.0000
Ge 0.0000 0.0000 0.5000
Ge 0.0000 0.5000 0.0000
As 0.5000 0.0000 0.0000
CELL_PARAMETERS angstrom
4.8101 0.0000 0.0000
0.0000 5.2933 0.0000
0.0000 0.0000 5.2933
! Uncorrected formation energy in kJ/mol of formula units: 517
! Crystal system: tetragonal
! Space-group type: P4/mmm (123)
! Total DFT energy (no corrections) in eV/atom: -18.792